Record 1
The following is a DFT calculation (GGA-PBE) of InGaNF2 after structural relaxation.

The space group is P4/mmm (No. 123) and the conventional cell measures 4.0615, 4.0615 and 3.9408 Å, with angles of 90.00, 90.00 and 90.00 degrees. The inequivalent atoms are In at (0.0000, 0.0000, 0.0000), Ga at (0.5000, 0.5000, 0.5000), N at (0.5000, 0.5000, 0.0000) and F at (0.0000, 0.5000, 0.5000).

The value obtained for the relative energy among the computed polymorphs is 0.00 eV per formula unit.

Record 2
The following is a DFT calculation (GGA-PBE) of InGaN2F after structural relaxation.

The space group is P4/mmm (No. 123) and the conventional cell measures 3.9673, 3.9673 and 3.8876 Å, with angles of 90.00, 90.00 and 90.00 degrees. The inequivalent atoms are In at (0.0000, 0.0000, 0.0000), Ga at (0.5000, 0.5000, 0.5000), N at (0.0000, 0.5000, 0.5000) and F at (0.5000, 0.5000, 0.0000).

The value obtained for the relative energy among the computed polymorphs is 0.00 eV per formula unit.

Record 3
The following is a DFT calculation (GGA-PBE) of InGaNF2 after structural relaxation.

The space group is P4/mmm (No. 123) and the conventional cell measures 4.3554, 4.3554 and 4.2500 Å, with angles of 90.00, 90.00 and 90.00 degrees. The inequivalent atoms are In at (0.0000, 0.0000, 0.0000), Ga at (0.5000, 0.5000, 0.5000), N at (0.0000, 0.0000, 0.5000) and F at (0.0000, 0.5000, 0.0000).

The value obtained for the relative energy among the computed polymorphs is 1.14 eV per formula unit.

Record 4
The following is a DFT calculation (GGA-PBE) of NaIn2GaF6 after structural relaxation.

The space group is R3 (No. 146, hexagonal axes) and the conventional cell measures 6.2677, 6.2677 and 15.7571 Å, with angles of 90.00, 90.00 and 120.00 degrees. The inequivalent atoms are Na at (0.0000, 0.0000, 0.0000), In at (0.0000, 0.0000, 0.2823), In at (0.0000, 0.0000, 0.7900), Ga at (0.0000, 0.0000, 0.4955), F at (0.0247, 0.7240, 0.7230) and F at (0.0821, 0.3966, 0.5460).

As for the total energy: -4.306 eV/atom.

Record 5
The following is a DFT calculation (GGA-PBE) of Na2InGaF6 after structural relaxation.

The space group is Fm-3m (No. 225) and the conventional cell measures 8.9317, 8.9317 and 8.9317 Å, with angles of 90.00, 90.00 and 90.00 degrees. The inequivalent atoms are Na at (0.2500, 0.2500, 0.2500), In at (0.0000, 0.0000, 0.0000), Ga at (0.0000, 0.0000, 0.5000) and F at (0.0000, 0.0000, 0.2356).

The value obtained for the relative energy among the computed polymorphs is 2.38 eV per formula unit.

Record 6
The following is a DFT calculation (GGA-PBE) of Na2InGaF6 after structural relaxation.

The space group is R3 (No. 146, hexagonal axes) and the conventional cell measures 5.8084, 5.8084 and 16.0758 Å, with angles of 90.00, 90.00 and 120.00 degrees. The inequivalent atoms are Na at (0.0000, 0.0000, 0.0000), Na at (0.0000, 0.0000, 0.4745), In at (0.0000, 0.0000, 0.2106), Ga at (0.0000, 0.0000, 0.6775), F at (0.0392, 0.7583, 0.6006) and F at (0.0587, 0.3772, 0.4053).

The value obtained for the relative energy among the computed polymorphs is 0.00 eV per formula unit.